# 1
LiBeNi2: single point on PBEsol structure, SCAN.

a = 3.2946 Å, b = 3.2946 Å, c = 7.1317 Å
α = 90.00°, β = 90.00°, γ = 90.00°
Space group I-4m2 (No. 119)
One atom of each set of equivalent atoms:
Li: 0.0000 0.0000 0.0000
Be: 0.0000 0.5000 0.7500
Ni: 0.0000 0.0000 0.5000
Ni: 0.0000 0.5000 0.2500

Values from the calculation:
total energy = -9.81 eV/atom
formation energy from the elements = -0.04 eV per atom
total magnetic moment = 0.5 μB/f.u.
crystal system = tetragonal

=====

# 2
K2RbTl2: single point on PBEsol structure, SCAN.

a = 9.4811 Å, b = 9.4811 Å, c = 4.9119 Å
α = 90.00°, β = 90.00°, γ = 90.00°
Space group P4/mbm (No. 127)
One atom of each set of equivalent atoms:
K: 0.1732 0.3268 0.0000
Rb: 0.0000 0.0000 0.5000
Tl: 0.1134 0.6134 0.5000

Values from the calculation:
total energy = -36.52 eV/atom
formation energy from the elements = -0.09 eV per atom
total magnetic moment = 0.0 μB/f.u.
crystal system = tetragonal

=====

Copy entry 2 word for word.
K2RbTl2: single point on PBEsol structure, SCAN.

a = 9.4811 Å, b = 9.4811 Å, c = 4.9119 Å
α = 90.00°, β = 90.00°, γ = 90.00°
Space group P4/mbm (No. 127)
One atom of each set of equivalent atoms:
K: 0.1732 0.3268 0.0000
Rb: 0.0000 0.0000 0.5000
Tl: 0.1134 0.6134 0.5000

Values from the calculation:
total energy = -36.52 eV/atom
formation energy from the elements = -0.09 eV per atom
total magnetic moment = 0.0 μB/f.u.
crystal system = tetragonal

=====

Which value of formation energy from the elements does entry 2 give? -0.09 eV per atom